A relaxed Tb2EuEr crystal, computed with PBE.

symmetry	No. 123
M_tot	7.380	μB/f.u.
polymorph energy (0 for the lowest one)	0.000	eV per atom
E_form	0.054	eV/atom

a b c (Å): 3.5979 3.5979 10.3097
angles (deg): 90.00 90.00 90.00
Last column: nearest neighbours and their distance in Å.
Fractional coordinates of all 4 atoms:
Tb: 0.0000 0.0000 0.2335  4 Er 3.50, 4 Tb 3.60, 4 Eu 3.74
Tb: 0.0000 0.0000 0.7665  4 Er 3.50, 4 Tb 3.60, 4 Eu 3.74
Eu: 0.5000 0.5000 0.5000  4 Eu 3.60, 8 Tb 3.74
Er: 0.5000 0.5000 0.0000  8 Tb 3.50, 4 Er 3.60